Compound: PaZn3Pd2
Source: Alexandria via LeMat-Bulk
Functional: PBE
Structure: relaxed

Values from the calculation:
**Spin magnetization**: 0.0 μB per formula unit
**Energy relative to the lowest polymorph listed for this composition**: 1.4 kJ per mole of atoms
**Raw total energy**: -4.305 eV/atom

a b c (Å): 4.3604 4.3604 6.4417
angles (deg): 90.00 90.00 120.00
Fractional coordinates of all 6 atoms:
Zn 0.0000 0.0000 0.5000
Zn 0.3333 0.6667 0.6722
Zn 0.6667 0.3333 0.3278
Pd 0.3333 0.6667 0.2498
Pd 0.6667 0.3333 0.7502
Pa 0.0000 0.0000 0.0000